Entry 1:
A relaxed ScFe2Ir crystal, computed with GGA-PBE.

abc: 2.799 4.127 5.167
angles: 90.00 103.32 90.00
Sites, in units of the cell vectors:
1 Sc 0.000 0.000 0.000
2 Fe 0.536 0.000 0.488
3 Fe 0.713 0.500 0.272
4 Ir 0.292 0.500 0.735

Properties
- formation enthalpy at 0 K (eV per atom) = -0.15
- density (kg/m³) = 9973
- D(E_F) (states/eV per cell) = 3.35
- total energy (eV per cell) = -32.72

***

Entry 2:
A relaxed Pr2Ho5In crystal, computed with GGA-PBE.

abc: 10.789 10.789 10.789
angles: 153.65 153.65 37.61
Sites, in units of the cell vectors:
1 Pr 0.243 0.243 0.000
2 Pr 0.757 0.757 0.000
3 Ho 0.000 0.000 0.000
4 Ho 0.118 0.618 0.500
5 Ho 0.382 0.882 0.500
6 Ho 0.618 0.118 0.500
7 Ho 0.882 0.382 0.500
8 In 0.500 0.500 0.000

Properties
- formation enthalpy at 0 K (eV per atom) = -0.10
- density (kg/m³) = 8210
- D(E_F) (states/eV per cell) = 10.45
- total energy (eV per cell) = -35.97

***

Entry 3:
A relaxed Tl15Sb2Pb2 crystal, computed with GGA-PBE.

abc: 8.775 8.775 8.775
angles: 80.98 80.98 80.98
Sites, in units of the cell vectors:
1 Tl 0.000 0.000 0.500
2 Tl 0.000 0.307 0.693
3 Tl 0.000 0.500 0.000
4 Tl 0.000 0.693 0.307
5 Tl 0.148 0.657 0.657
6 Tl 0.307 0.000 0.693
7 Tl 0.307 0.693 0.000
8 Tl 0.343 0.343 0.852
9 Tl 0.343 0.852 0.343
10 Tl 0.500 0.000 0.000
11 Tl 0.657 0.148 0.657
12 Tl 0.657 0.657 0.148
13 Tl 0.693 0.000 0.307
14 Tl 0.693 0.307 0.000
15 Tl 0.852 0.343 0.343
16 Sb 0.105 0.105 0.105
17 Sb 0.895 0.895 0.895
18 Pb 0.279 0.279 0.279
19 Pb 0.721 0.721 0.721

Properties
- formation energy (no corrections) (eV per formula unit) = 1.6
- density (kg/m³) = 9469
- D(E_F) (states/eV per cell) = 9.33
- total energy (eV per cell) = -49.60

***

Entry 4:
A relaxed Nd4Mg3Ga crystal, computed with GGA-PBE.

abc: 3.811 3.811 15.580
angles: 90.00 90.00 90.00
Sites, in units of the cell vectors:
1 Nd 0.000 0.000 0.112
2 Nd 0.000 0.000 0.370
3 Nd 0.000 0.000 0.630
4 Nd 0.000 0.000 0.888
5 Mg 0.500 0.500 0.245
6 Mg 0.500 0.500 0.500
7 Mg 0.500 0.500 0.755
8 Ga 0.500 0.500 0.000

Properties
- formation enthalpy at 0 K (eV per atom) = -0.22
- density (kg/m³) = 5280
- D(E_F) (states/eV per cell) = 8.50
- total energy (eV per cell) = -28.62

***

Entry 5:
A relaxed GaHPd3 crystal, computed with GGA-PBE.

abc: 2.940 7.920 5.584
angles: 90.00 105.20 90.00
Sites, in units of the cell vectors:
1 Ga 0.241 0.000 0.482
2 Ga 0.759 0.500 0.518
3 H 0.500 0.249 0.001
4 H 0.500 0.749 0.999
5 Pd 0.133 0.293 0.266
6 Pd 0.133 0.707 0.266
7 Pd 0.459 0.500 0.920
8 Pd 0.541 0.000 0.080
9 Pd 0.867 0.207 0.734
10 Pd 0.867 0.793 0.734

Properties
- density (kg/m³) = 10322
- D(E_F) (states/eV per cell) = 3.42
- total energy (eV per cell) = -47.93

***

Entry 6:
A relaxed PmSm10Ho6 crystal, computed with GGA-PBE.

abc: 9.773 9.773 6.866
angles: 90.00 90.00 120.00
Sites, in units of the cell vectors:
1 Pm 0.000 0.000 0.000
2 Sm 0.000 0.276 0.317
3 Sm 0.000 0.724 0.683
4 Sm 0.276 0.000 0.317
5 Sm 0.276 0.276 0.683
6 Sm 0.333 0.667 0.000
7 Sm 0.333 0.667 0.500
8 Sm 0.667 0.333 0.000
9 Sm 0.667 0.333 0.500
10 Sm 0.724 0.000 0.683
11 Sm 0.724 0.724 0.317
12 Ho 0.000 0.373 0.806
13 Ho 0.000 0.627 0.194
14 Ho 0.373 0.000 0.806
15 Ho 0.373 0.373 0.194
16 Ho 0.627 0.000 0.194
17 Ho 0.627 0.627 0.806

Properties
- formation enthalpy at 0 K (eV per atom) = 0.13
- density (kg/m³) = 7714
- D(E_F) (states/eV per cell) = 24.73
- total energy (eV per cell) = -77.18

***

Entry 7:
A relaxed KInAs2 crystal, computed with GGA-PBE.

abc: 3.307 3.307 9.171
angles: 90.00 90.00 90.00
Sites, in units of the cell vectors:
1 K 0.000 0.000 0.000
2 In 0.000 0.000 0.500
3 As 0.500 0.500 0.278
4 As 0.500 0.500 0.722

Properties
- formation enthalpy at 0 K (eV per atom) = 0.05
- density (kg/m³) = 5030
- D(E_F) (states/eV per cell) = 1.95
- total energy (eV per cell) = -12.92

***

Entry 8:
A relaxed BaAlCuAgO5 crystal, computed with GGA-PBE.

abc: 3.754 3.754 8.352
angles: 90.00 90.00 90.00
Sites, in units of the cell vectors:
1 Ba 0.000 0.000 0.000
2 Al 0.000 0.000 0.451
3 Cu 0.500 0.500 0.237
4 Ag 0.500 0.500 0.686
5 O 0.000 0.500 0.289
6 O 0.000 0.500 0.572
7 O 0.500 0.000 0.289
8 O 0.500 0.000 0.572
9 O 0.500 0.500 0.963

Properties
- formation energy (no corrections) (eV per formula unit) = -10.7
- density (kg/m³) = 5865
- D(E_F) (states/eV per cell) = 4.23
- total energy (eV per cell) = -48.12

***

Entry 9:
A relaxed Zr3TeP crystal, computed with GGA-PBE.

abc: 4.915 4.915 4.915
angles: 90.00 90.00 90.00
Sites, in units of the cell vectors:
1 Zr 0.000 0.000 0.500
2 Zr 0.000 0.500 0.000
3 Zr 0.500 0.000 0.000
4 Te 0.500 0.500 0.500
5 P 0.000 0.000 0.000

Properties
- formation energy (no corrections) (eV per formula unit) = -1.6
- density (kg/m³) = 6044
- D(E_F) (states/eV per cell) = 7.48
- total energy (eV per cell) = -35.77

***

Entry 10:
A relaxed CsYGa2 crystal, computed with GGA-PBE.

abc: 5.552 5.552 5.552
angles: 60.00 60.00 60.00
Sites, in units of the cell vectors:
1 Cs 0.000 0.000 0.000
2 Y 0.500 0.500 0.500
3 Ga 0.250 0.250 0.250
4 Ga 0.750 0.750 0.750

Properties
- formation enthalpy at 0 K (eV per atom) = 0.23
- density (kg/m³) = 4958
- D(E_F) (states/eV per cell) = 3.60
- total energy (eV per cell) = -12.45

***

Entry 11:
A relaxed Tc5Ni3 crystal, computed with GGA-PBE.

abc: 7.224 7.224 4.729
angles: 90.00 90.00 120.00
Sites, in units of the cell vectors:
1 Tc 0.000 0.220 0.250
2 Tc 0.000 0.780 0.750
3 Tc 0.220 0.000 0.250
4 Tc 0.220 0.220 0.750
5 Tc 0.333 0.667 0.000
6 Tc 0.333 0.667 0.500
7 Tc 0.667 0.333 0.000
8 Tc 0.667 0.333 0.500
9 Tc 0.780 0.000 0.750
10 Tc 0.780 0.780 0.250
11 Ni 0.000 0.407 0.750
12 Ni 0.000 0.593 0.250
13 Ni 0.407 0.000 0.750
14 Ni 0.407 0.407 0.250
15 Ni 0.593 0.000 0.250
16 Ni 0.593 0.593 0.750

Properties
- formation enthalpy at 0 K (eV per atom) = 0.14
- density (kg/m³) = 10351
- D(E_F) (states/eV per cell) = 19.25
- total energy (eV per cell) = -136.05

***

Entry 12:
A relaxed LiHg2BrO crystal, computed with GGA-PBE.

abc: 6.338 6.338 3.870
angles: 90.00 90.00 90.00
Sites, in units of the cell vectors:
1 Li 0.000 0.000 0.000
2 Hg 0.000 0.500 0.500
3 Hg 0.500 0.000 0.500
4 Br 0.500 0.500 0.500
5 O 0.500 0.500 0.000

Properties
- formation energy (no corrections) (eV per formula unit) = 1.1
- density (kg/m³) = 5384
- D(E_F) (states/eV per cell) = 2.84
- total energy (eV per cell) = -8.01

***

Entry 13:
A relaxed Sm6CSe2S3 crystal, computed with GGA-PBE.

abc: 7.044 7.044 6.893
angles: 99.78 99.78 119.98
Sites, in units of the cell vectors:
1 Sm 0.080 0.377 0.740
2 Sm 0.218 0.218 0.259
3 Sm 0.377 0.080 0.740
4 Sm 0.623 0.920 0.260
5 Sm 0.782 0.782 0.741
6 Sm 0.920 0.623 0.260
7 C 0.000 0.000 0.500
8 Se 0.334 0.666 0.500
9 Se 0.666 0.334 0.500
10 S 0.173 0.827 0.000
11 S 0.500 0.500 0.000
12 S 0.827 0.173 0.000

Properties
- formation energy (no corrections) (eV per formula unit) = -20.3
- density (kg/m³) = 6962
- D(E_F) (states/eV per cell) = 5.42
- total energy (eV per cell) = -77.18

***

Entry 14:
A relaxed Ce3NdMn crystal, computed with GGA-PBE.

abc: 5.184 5.184 5.184
angles: 90.00 90.00 90.00
Sites, in units of the cell vectors:
1 Ce 0.000 0.000 0.500
2 Ce 0.000 0.500 0.000
3 Ce 0.500 0.000 0.000
4 Nd 0.500 0.500 0.500
5 Mn 0.000 0.000 0.000

Properties
- formation enthalpy at 0 K (eV per atom) = 0.16
- density (kg/m³) = 7384
- D(E_F) (states/eV per cell) = 13.06
- total energy (eV per cell) = -30.96

***

Entry 15:
A relaxed Li2Ga2Pt crystal, computed with GGA-PBE.

abc: 5.182 5.182 5.182
angles: 48.79 48.79 48.79
Sites, in units of the cell vectors:
1 Li 0.199 0.199 0.199
2 Li 0.801 0.801 0.801
3 Ga 0.399 0.399 0.399
4 Ga 0.601 0.601 0.601
5 Pt 0.000 0.000 0.000

Properties
- formation enthalpy at 0 K (eV per atom) = -0.63
- density (kg/m³) = 8004
- D(E_F) (states/eV per cell) = 1.60
- total energy (eV per cell) = -19.09

***

Entry 16:
A relaxed Mg2CdTcW crystal, computed with GGA-PBE.

abc: 5.033 5.033 4.656
angles: 90.00 90.00 90.00
Sites, in units of the cell vectors:
1 Mg 0.000 0.500 0.000
2 Mg 0.500 0.000 0.000
3 Cd 0.000 0.000 0.500
4 Tc 0.500 0.500 0.000
5 W 0.500 0.500 0.500

Properties
- formation enthalpy at 0 K (eV per atom) = 1.00
- density (kg/m³) = 6234
- D(E_F) (states/eV per cell) = 4.24
- total energy (eV per cell) = -22.44

***

Entry 17:
A relaxed AlNi2Au crystal, computed with GGA-PBE.

abc: 2.813 3.446 5.511
angles: 90.00 90.00 90.00
Sites, in units of the cell vectors:
1 Al 0.000 0.000 0.000
2 Ni 0.000 0.000 0.561
3 Ni 0.500 0.500 0.785
4 Au 0.500 0.500 0.289

Properties
- formation enthalpy at 0 K (eV per atom) = -0.25
- density (kg/m³) = 10612
- D(E_F) (states/eV per cell) = 2.62
- total energy (eV per cell) = -19.58

***

Entry 18:
A relaxed TlAgPdPt2 crystal, computed with GGA-PBE.

abc: 5.025 5.025 5.114
angles: 90.00 90.00 90.00
Sites, in units of the cell vectors:
1 Tl 0.000 0.000 0.000
2 Ag 0.000 0.000 0.500
3 Pd 0.500 0.500 0.500
4 Pt 0.000 0.500 0.000
5 Pt 0.500 0.000 0.000

Properties
- formation enthalpy at 0 K (eV per atom) = 1.29
- density (kg/m³) = 10400
- D(E_F) (states/eV per cell) = 2.80
- total energy (eV per cell) = -16.06

***

Entry 19:
A relaxed GdZr3 crystal, computed with GGA-PBE.

abc: 4.630 4.630 4.630
angles: 90.00 90.00 90.00
Sites, in units of the cell vectors:
1 Gd 0.000 0.000 0.000
2 Zr 0.000 0.500 0.500
3 Zr 0.500 0.000 0.500
4 Zr 0.500 0.500 0.000

Properties
- formation enthalpy at 0 K (eV per atom) = 0.12
- density (kg/m³) = 7209
- D(E_F) (states/eV per cell) = 5.90
- total energy (eV per cell) = -39.23

***

Entry 20:
A relaxed TcRu crystal, computed with GGA-PBE.

abc: 4.227 4.227 7.982
angles: 90.00 90.00 120.00
Sites, in units of the cell vectors:
1 Tc 0.000 0.000 0.250
2 Tc 0.000 0.000 0.750
3 Tc 0.333 0.667 0.250
4 Tc 0.667 0.333 0.750
5 Ru 0.333 0.667 0.583
6 Ru 0.333 0.667 0.917
7 Ru 0.667 0.333 0.083
8 Ru 0.667 0.333 0.417

Properties
- formation enthalpy at 0 K (eV per atom) = 0.45
- density (kg/m³) = 10707
- D(E_F) (states/eV per cell) = 8.07
- total energy (eV per cell) = -74.96